A relaxed structure of Pr8YTh4. Source: Alexandria, functional PBE.

a = 11.522 Å, b = 11.522 Å, c = 7.961 Å
α = 90.00°, β = 136.36°, γ = 120.00°
Fractional coordinates of all 13 atoms:
Pr 0.528 0.764 0.292
Pr 0.035 0.263 0.807
Th 0.500 0.500 0.000
Pr 0.544 0.772 0.807
Y 0.000 0.500 0.500
Pr 0.965 0.737 0.193
Th 0.000 0.000 0.000
Pr 0.035 0.772 0.807
Pr 0.472 0.236 0.708
Pr 0.965 0.228 0.193
Th 0.500 0.000 0.000
Th 0.000 0.500 0.000
Pr 0.456 0.228 0.193

Output
calculated formation energy	543	meV/atom
size of the total moment	0.00	μB/cell